1.
This record from the Alexandria database describes MgSi2Ag after structural relaxation. The functional is GGA-PBEsol.

Formation energy (no corrections) ... 84 meV/atom

```
data_MgSi2Ag
_chemical_formula_sum 'Mg1 Si2 Ag1'
_cell_length_a 2.865
_cell_length_b 4.345
_cell_length_c 5.276
_cell_angle_alpha 90.00
_cell_angle_beta 90.00
_cell_angle_gamma 90.00
_symmetry_space_group_name_H-M 'P 1'
_symmetry_Int_Tables_number 1
loop_
_symmetry_equiv_pos_as_xyz
'x,y,z'
loop_
_atom_site_label
_atom_site_type_symbol
_atom_site_fract_x
_atom_site_fract_y
_atom_site_fract_z
Mg1 Mg 0.000 0.000 0.000
Si1 Si 0.500 0.500 0.238
Si2 Si 0.500 0.500 0.762
Ag1 Ag 0.500 0.000 0.500
```


2.
This record from the Alexandria database describes CaTlCl2 after structural relaxation. The functional is GGA-PBEsol.

Formation energy (no corrections) ... -1328 meV/atom
Energy above the lowest structure with this stoichiometry ... 0.0000 eV per atom

```
data_CaTlCl2
_chemical_formula_sum 'Ca1 Tl1 Cl2'
_cell_length_a 3.842
_cell_length_b 3.842
_cell_length_c 7.460
_cell_angle_alpha 90.00
_cell_angle_beta 90.00
_cell_angle_gamma 90.00
_symmetry_space_group_name_H-M 'P 1'
_symmetry_Int_Tables_number 1
loop_
_symmetry_equiv_pos_as_xyz
'x,y,z'
loop_
_atom_site_label
_atom_site_type_symbol
_atom_site_fract_x
_atom_site_fract_y
_atom_site_fract_z
Ca1 Ca 0.000 0.000 0.000
Tl1 Tl 0.500 0.500 0.603
Cl1 Cl 0.000 0.000 0.342
Cl2 Cl 0.500 0.500 0.031
```


3.
This record from the Alexandria database describes LiP2Cl after structural relaxation. The functional is GGA-PBEsol.

Formation energy (no corrections) ... -556 meV/atom
Energy above the lowest structure with this stoichiometry ... 0.0356 eV per atom

```
data_LiP2Cl
_chemical_formula_sum 'Li1 P2 Cl1'
_cell_length_a 3.259
_cell_length_b 7.720
_cell_length_c 3.572
_cell_angle_alpha 90.00
_cell_angle_beta 90.10
_cell_angle_gamma 90.00
_symmetry_space_group_name_H-M 'P 1'
_symmetry_Int_Tables_number 1
loop_
_symmetry_equiv_pos_as_xyz
'x,y,z'
loop_
_atom_site_label
_atom_site_type_symbol
_atom_site_fract_x
_atom_site_fract_y
_atom_site_fract_z
Li1 Li 0.000 0.000 0.000
P1 P 0.250 0.500 0.692
P2 P 0.750 0.500 0.308
Cl1 Cl 0.500 0.000 0.500
```


4.
This record from the Alexandria database describes SrNbSn3 after structural relaxation. The functional is GGA-PBEsol.

Formation enthalpy at 0 K ... -115 meV/atom

```
data_SrNbSn3
_chemical_formula_sum 'Sr1 Nb1 Sn3'
_cell_length_a 5.329
_cell_length_b 5.329
_cell_length_c 5.329
_cell_angle_alpha 90.00
_cell_angle_beta 90.00
_cell_angle_gamma 90.00
_symmetry_space_group_name_H-M 'P 1'
_symmetry_Int_Tables_number 1
loop_
_symmetry_equiv_pos_as_xyz
'x,y,z'
loop_
_atom_site_label
_atom_site_type_symbol
_atom_site_fract_x
_atom_site_fract_y
_atom_site_fract_z
Sr1 Sr 0.000 0.000 0.000
Nb1 Nb 0.500 0.500 0.500
Sn1 Sn 0.000 0.500 0.500
Sn2 Sn 0.500 0.000 0.500
Sn3 Sn 0.500 0.500 0.000
```


Number 1: ρ 4761 kg/m3. Number 2: ρ 4756 kg/m3. Number 3: ρ 1928 kg/m3. Number 4: ρ 5889 kg/m3.